Here is crystalline Na2Zr2O5 at its relaxed geometry from OQMD. Energies are from PBE.

Cell lengths 3.886, 3.886, 6.657 Å; angles 90.00, 90.00, 90.00 degrees
Fractional coordinates of all 9 atoms:
Na: 0.000 0.000 0.198
Na: 0.000 0.000 0.802
Zr: 0.500 0.500 0.000
Zr: 0.500 0.500 0.500
O: 0.000 0.000 0.500
O: 0.000 0.500 0.193
O: 0.000 0.500 0.807
O: 0.500 0.000 0.193
O: 0.500 0.000 0.807

## Properties
Final energy: -6.354 eV/atom
Size of the total moment: 0.0 μB/cell